[1]
The following is a DFT calculation (PBE) of a relaxed CeCu crystal.

Output
ΔH_f (0 K) in meV/atom: -69
Space-group type: Pnma
Fermi-level density of states in states/eV/f.u.: 3.84

```
data_CeCu
_chemical_formula_sum 'Ce4 Cu4'
_cell_length_a 6.180
_cell_length_b 4.314
_cell_length_c 6.108
_cell_angle_alpha 90.00
_cell_angle_beta 90.00
_cell_angle_gamma 90.00
_space_group_name_H-M_alt 'P 1'
_space_group_IT_number 1
_space_group_name_Hall 'P 1'
loop_
_atom_site_label
_atom_site_type_symbol
_atom_site_fract_x
_atom_site_fract_y
_atom_site_fract_z
Ce1 Ce 0.115 0.250 0.108
Ce2 Ce 0.385 0.750 0.608
Ce3 Ce 0.615 0.250 0.392
Ce4 Ce 0.885 0.750 0.892
Cu1 Cu 0.068 0.250 0.598
Cu2 Cu 0.432 0.750 0.098
Cu3 Cu 0.568 0.250 0.902
Cu4 Cu 0.932 0.750 0.402
```

---

[2]
The following is a DFT calculation (PBE) of a relaxed Li2Ac2Cd3 crystal.

Output
ΔH_f (0 K) in meV/atom: -192
Excess energy over the best structure of this formula in the dataset in eV/f.u.: 0.19
Space-group type: Cmcm
Fermi-level density of states in states/eV/f.u.: 7.19

```
data_Li2Ac2Cd3
_chemical_formula_sum 'Li4 Ac4 Cd6'
_cell_length_a 10.529
_cell_length_b 10.529
_cell_length_c 7.914
_cell_angle_alpha 90.00
_cell_angle_beta 90.00
_cell_angle_gamma 152.77
_space_group_name_H-M_alt 'P 1'
_space_group_IT_number 1
_space_group_name_Hall 'P 1'
loop_
_atom_site_label
_atom_site_type_symbol
_atom_site_fract_x
_atom_site_fract_y
_atom_site_fract_z
Li1 Li 0.193 0.807 0.562
Li2 Li 0.193 0.807 0.938
Li3 Li 0.807 0.193 0.062
Li4 Li 0.807 0.193 0.438
Ac1 Ac 0.344 0.656 0.750
Ac2 Ac 0.443 0.557 0.250
Ac3 Ac 0.557 0.443 0.750
Ac4 Ac 0.656 0.344 0.250
Cd1 Cd 0.064 0.936 0.066
Cd2 Cd 0.064 0.936 0.434
Cd3 Cd 0.275 0.725 0.250
Cd4 Cd 0.725 0.275 0.750
Cd5 Cd 0.936 0.064 0.566
Cd6 Cd 0.936 0.064 0.934
```

---

[3]
The following is a DFT calculation (PBE) of a relaxed LiLa4Tl crystal.

Output
ΔH_f (0 K) in meV/atom: -57
Excess energy over the best structure of this formula in the dataset in eV/f.u.: 0.00
Space-group type: P2_1/m
Fermi-level density of states in states/eV/f.u.: 8.07

```
data_LiLa4Tl
_chemical_formula_sum 'Li2 La8 Tl2'
_cell_length_a 6.321
_cell_length_b 7.005
_cell_length_c 9.063
_cell_angle_alpha 90.00
_cell_angle_beta 100.14
_cell_angle_gamma 90.00
_space_group_name_H-M_alt 'P 1'
_space_group_IT_number 1
_space_group_name_Hall 'P 1'
loop_
_atom_site_label
_atom_site_type_symbol
_atom_site_fract_x
_atom_site_fract_y
_atom_site_fract_z
Li1 Li 0.172 0.250 0.487
Li2 Li 0.828 0.750 0.513
La1 La 0.127 0.016 0.818
La2 La 0.127 0.484 0.818
La3 La 0.312 0.750 0.473
La4 La 0.380 0.250 0.167
La5 La 0.620 0.750 0.833
La6 La 0.688 0.250 0.527
La7 La 0.873 0.516 0.182
La8 La 0.873 0.984 0.182
Tl1 Tl 0.356 0.750 0.123
Tl2 Tl 0.644 0.250 0.877
```

---

[4]
The following is a DFT calculation (PBE) of a relaxed BeFeSi crystal.

Output
Formation energy from raw total energies in meV per atom: -405
Space-group type: I4mm

```
data_BeFeSi
_chemical_formula_sum 'Be1 Fe1 Si1'
_cell_length_a 4.185
_cell_length_b 4.185
_cell_length_c 4.185
_cell_angle_alpha 140.59
_cell_angle_beta 140.59
_cell_angle_gamma 56.96
_space_group_name_H-M_alt 'P 1'
_space_group_IT_number 1
_space_group_name_Hall 'P 1'
loop_
_atom_site_label
_atom_site_type_symbol
_atom_site_fract_x
_atom_site_fract_y
_atom_site_fract_z
Be1 Be 0.000 0.000 0.000
Fe1 Fe 0.657 0.657 0.000
Si1 Si 0.327 0.327 0.000
```

---

[5]
The following is a DFT calculation (PBE) of a relaxed BaNaCa2Pt crystal.

Output
ΔH_f (0 K) in meV/atom: -430
Excess energy over the best structure of this formula in the dataset in eV/f.u.: 0.00
Space-group type: P4/mmm
Fermi-level density of states in states/eV/f.u.: 3.38

```
data_BaNaCa2Pt
_chemical_formula_sum 'Ba1 Na1 Ca2 Pt1'
_cell_length_a 5.722
_cell_length_b 5.722
_cell_length_c 6.198
_cell_angle_alpha 90.00
_cell_angle_beta 90.00
_cell_angle_gamma 90.00
_space_group_name_H-M_alt 'P 1'
_space_group_IT_number 1
_space_group_name_Hall 'P 1'
loop_
_atom_site_label
_atom_site_type_symbol
_atom_site_fract_x
_atom_site_fract_y
_atom_site_fract_z
Ba1 Ba 0.000 0.000 0.000
Na1 Na 0.500 0.500 0.000
Ca1 Ca 0.000 0.500 0.500
Ca2 Ca 0.500 0.000 0.500
Pt1 Pt 0.000 0.000 0.500
```

---

[6]
The following is a DFT calculation (PBE) of a relaxed PmTmTl2 crystal.

Output
ΔH_f (0 K) in meV/atom: -347
Space-group type: P4/mmm
Fermi-level density of states in states/eV/f.u.: 2.95

```
data_PmTmTl2
_chemical_formula_sum 'Pm1 Tm1 Tl2'
_cell_length_a 3.810
_cell_length_b 3.810
_cell_length_c 7.643
_cell_angle_alpha 90.00
_cell_angle_beta 90.00
_cell_angle_gamma 90.00
_space_group_name_H-M_alt 'P 1'
_space_group_IT_number 1
_space_group_name_Hall 'P 1'
loop_
_atom_site_label
_atom_site_type_symbol
_atom_site_fract_x
_atom_site_fract_y
_atom_site_fract_z
Pm1 Pm 0.000 0.000 0.000
Tm1 Tm 0.000 0.000 0.500
Tl1 Tl 0.500 0.500 0.263
Tl2 Tl 0.500 0.500 0.737
```

---

[7]
The following is a DFT calculation (PBE) of a relaxed CsLaPdO4 crystal.

Output
Formation energy from raw total energies in meV per atom: -1533
Space-group type: P2_1/m

```
data_CsLaPdO4
_chemical_formula_sum 'Cs2 La2 Pd2 O8'
_cell_length_a 6.163
_cell_length_b 5.786
_cell_length_c 8.256
_cell_angle_alpha 90.00
_cell_angle_beta 102.76
_cell_angle_gamma 90.00
_space_group_name_H-M_alt 'P 1'
_space_group_IT_number 1
_space_group_name_Hall 'P 1'
loop_
_atom_site_label
_atom_site_type_symbol
_atom_site_fract_x
_atom_site_fract_y
_atom_site_fract_z
Cs1 Cs 0.171 0.250 0.118
Cs2 Cs 0.829 0.750 0.882
La1 La 0.206 0.750 0.477
La2 La 0.794 0.250 0.523
Pd1 Pd 0.347 0.250 0.705
Pd2 Pd 0.653 0.750 0.295
O1 O 0.102 0.023 0.683
O2 O 0.102 0.477 0.683
O3 O 0.339 0.750 0.216
O4 O 0.390 0.250 0.474
O5 O 0.610 0.750 0.526
O6 O 0.661 0.250 0.784
O7 O 0.898 0.523 0.317
O8 O 0.898 0.977 0.317
```

---

[8]
The following is a DFT calculation (PBE) of a relaxed Ce5AlRu5 crystal.

Output
ΔH_f (0 K) in meV/atom: -271
Space-group type: C2/m
Fermi-level density of states in states/eV/f.u.: 10.95

```
data_Ce5AlRu5
_chemical_formula_sum 'Ce5 Al1 Ru5'
_cell_length_a 6.496
_cell_length_b 6.496
_cell_length_c 8.380
_cell_angle_alpha 108.80
_cell_angle_beta 108.80
_cell_angle_gamma 47.71
_space_group_name_H-M_alt 'P 1'
_space_group_IT_number 1
_space_group_name_Hall 'P 1'
loop_
_atom_site_label
_atom_site_type_symbol
_atom_site_fract_x
_atom_site_fract_y
_atom_site_fract_z
Ce1 Ce 0.000 0.000 0.000
Ce2 Ce 0.324 0.324 0.655
Ce3 Ce 0.325 0.325 0.170
Ce4 Ce 0.675 0.675 0.830
Ce5 Ce 0.676 0.676 0.345
Al1 Al 0.000 0.000 0.500
Ru1 Ru 0.126 0.126 0.313
Ru2 Ru 0.138 0.138 0.816
Ru3 Ru 0.500 0.500 0.500
Ru4 Ru 0.862 0.862 0.184
Ru5 Ru 0.874 0.874 0.687
```